Computed, not measured: a relaxed Tl3InAs2O8 crystal at the PBE-GGA level of DFT.

Unit cell a=5.8219 b=5.8219 c=8.3200 alpha=90.00 beta=90.00 gamma=120.00
Fractional coordinates of all 14 atoms:
1 Tl 0.0000 0.0000 0.0000
2 Tl 0.3333 0.6667 0.7659
3 Tl 0.6667 0.3333 0.2341
4 In 0.0000 0.0000 0.5000
5 As 0.3333 0.6667 0.2766
6 As 0.6667 0.3333 0.7234
7 O 0.1695 0.3390 0.3382
8 O 0.1695 0.8305 0.3382
9 O 0.3333 0.6667 0.0725
10 O 0.3390 0.1695 0.6618
11 O 0.6610 0.8305 0.3382
12 O 0.6667 0.3333 0.9275
13 O 0.8305 0.1695 0.6618
14 O 0.8305 0.6610 0.6618

- size of the total moment (μB/cell) = 0.00
- energy relative to the elements, uncorrected (meV per atom) = -1147
- space-group type = No. 164